First-principles (PBE) data for crystalline LiAg at its relaxed geometry, as listed in Alexandria.

Computed properties:
SG ... No. 223
ΔH_f (0 K) ... 0.364 eV per atom

abc: 7.3647 7.3647 7.3647
angles: 90.00 90.00 90.00
With the nearest neighbours (Å) after each atom.
Fractional positions:
Li 0.0000 0.2500 0.5000  4 Ag 2.60
Li 0.0000 0.7500 0.5000  4 Ag 2.60
Li 0.2500 0.5000 0.0000  4 Ag 2.60
Li 0.5000 0.0000 0.2500  4 Ag 2.60
Li 0.5000 0.0000 0.7500  4 Ag 2.60
Li 0.7500 0.5000 0.0000  4 Ag 2.60
Ag 0.0000 0.5000 0.2500  4 Li 2.60
Ag 0.0000 0.5000 0.7500  4 Li 2.60
Ag 0.2500 0.0000 0.5000  4 Li 2.60
Ag 0.5000 0.2500 0.0000  4 Li 2.60
Ag 0.5000 0.7500 0.0000  4 Li 2.60
Ag 0.7500 0.0000 0.5000  4 Li 2.60

---

First-principles (PBE) data for crystalline K2Hg2Bi at its relaxed geometry, as listed in Alexandria.

Computed properties:
Relative energy among the computed polymorphs ... 0.194 eV/atom
SG ... No. 127
ΔH_f (0 K) ... -0.133 eV per atom

abc: 9.8191 9.8191 3.7552
angles: 90.00 90.00 90.00
With the nearest neighbours (Å) after each atom.
Fractional positions:
K 0.1755 0.3245 0.0000  6 Hg 3.41-3.50, 2 Bi 3.62, 2 K 3.76
K 0.3245 0.8245 0.0000  6 Hg 3.41-3.50, 2 Bi 3.62, 2 K 3.76
K 0.6755 0.1755 0.0000  6 Hg 3.41-3.50, 2 Bi 3.62, 2 K 3.76
K 0.8245 0.6755 0.0000  6 Hg 3.41-3.50, 2 Bi 3.62, 2 K 3.76
Hg 0.1197 0.6197 0.5000  1 Hg 3.33, 6 K 3.41-3.50
Hg 0.3803 0.1197 0.5000  1 Hg 3.33, 6 K 3.41-3.50
Hg 0.6197 0.8803 0.5000  1 Hg 3.33, 6 K 3.41-3.50
Hg 0.8803 0.3803 0.5000  1 Hg 3.33, 6 K 3.41-3.50
Bi 0.0000 0.0000 0.0000  4 K 3.62, 2 Bi 3.76
Bi 0.5000 0.5000 0.0000  4 K 3.62, 2 Bi 3.76

---

First-principles (PBE) data for crystalline Sc3Ni5 at its relaxed geometry, as listed in Alexandria.

Computed properties:
Relative energy among the computed polymorphs ... 0.000 eV/atom
SG ... No. 65
ΔH_f (0 K) ... -0.411 eV per atom

abc: 5.2475 5.2475 4.3207
angles: 90.00 90.00 104.14
With the nearest neighbours (Å) after each atom.
Fractional positions:
Sc 0.0000 0.0000 0.0000  8 Ni 2.55-2.62
Sc 0.2908 0.7092 0.5000  10 Ni 2.55-2.77
Sc 0.7092 0.2908 0.5000  10 Ni 2.55-2.77
Ni 0.0000 0.5000 0.0000  2 Ni 2.62, 6 Sc 2.62-2.72
Ni 0.2097 0.2097 0.5000  6 Sc 2.55-2.76, 1 Ni 2.71
Ni 0.5000 0.0000 0.0000  2 Ni 2.62, 6 Sc 2.62-2.72
Ni 0.5000 0.5000 0.0000  8 Ni 2.62-2.86, 4 Sc 2.77
Ni 0.7903 0.7903 0.5000  6 Sc 2.55-2.76, 1 Ni 2.71

---

First-principles (PBE) data for crystalline CaCePdPb at its relaxed geometry, as listed in Alexandria.

Computed properties:
SG ... No. 216
ΔH_f (0 K) ... -0.507 eV per atom

abc: 5.3071 5.3071 5.3071
angles: 60.00 60.00 60.00
With the nearest neighbours (Å) after each atom.
Fractional positions:
Ca 0.0000 0.0000 0.0000  4 Pb 3.25, 4 Pd 3.25
Ce 0.5000 0.5000 0.5000  4 Pd 3.25, 4 Pb 3.25
Pd 0.7500 0.7500 0.7500  4 Ce 3.25, 4 Ca 3.25
Pb 0.2500 0.2500 0.2500  4 Ce 3.25, 4 Ca 3.25

---

First-principles (PBE) data for crystalline Li6PrHg6 at its relaxed geometry, as listed in Alexandria.

Computed properties:
SG ... No. 71
ΔH_f (0 K) ... -0.323 eV per atom

abc: 7.4473 7.4473 7.4473
angles: 137.04 99.89 95.53
With the nearest neighbours (Å) after each atom.
Fractional positions:
Li 0.0000 0.0000 0.5000  4 Li 2.73-2.85, 6 Hg 2.85-2.97
Li 0.0000 0.5000 0.0000  4 Li 2.73-2.85, 6 Hg 2.85-2.97
Li 0.2450 0.0000 0.2450  4 Li 2.85, 6 Hg 2.87-2.94
Li 0.5000 0.0000 0.0000  4 Li 2.73-2.85, 6 Hg 2.85-2.97
Li 0.5000 0.5000 0.5000  4 Li 2.73-2.85, 6 Hg 2.85-2.97
Li 0.7550 0.0000 0.7550  4 Li 2.85, 6 Hg 2.87-2.94
Pr 0.0000 0.5000 0.5000  8 Hg 3.24-3.41, 4 Li 3.60
Hg 0.1765 0.1765 0.0000  6 Li 2.85-2.94, 2 Hg 3.18
Hg 0.3378 0.5000 0.8378  6 Li 2.87-2.97, 1 Hg 3.11
Hg 0.3402 0.8402 0.5000  6 Li 2.90-2.92, 3 Hg 3.18-3.20
Hg 0.6598 0.1598 0.5000  6 Li 2.90-2.92, 3 Hg 3.18-3.20
Hg 0.6622 0.5000 0.1622  6 Li 2.87-2.97, 1 Hg 3.11
Hg 0.8235 0.8235 0.0000  6 Li 2.85-2.94, 2 Hg 3.18

---

First-principles (PBE) data for crystalline Tb4Y3Ga4 at its relaxed geometry, as listed in Alexandria.

Computed properties:
SG ... No. 71
ΔH_f (0 K) ... -0.332 eV per atom

abc: 9.2253 9.2253 9.2253
angles: 151.81 126.17 61.86
With the nearest neighbours (Å) after each atom.
Fractional positions:
Tb 0.0299 0.8344 0.1955  4 Ga 2.89-3.04
Tb 0.3611 0.1656 0.1955  4 Ga 2.89-3.04
Tb 0.6389 0.8344 0.8045  4 Ga 2.89-3.04
Tb 0.9701 0.1656 0.8045  4 Ga 2.89-3.04
Y 0.0000 0.5000 0.5000  6 Ga 3.63, 8 Tb 3.82
Y 0.3837 0.3837 0.0000  6 Ga 3.19-3.32, 4 Tb 3.48
Y 0.6163 0.6163 0.0000  6 Ga 3.19-3.32, 4 Tb 3.48
Ga 0.2293 0.7293 0.5000  6 Tb 2.95-3.04
Ga 0.3415 0.0000 0.3415  1 Ga 2.65, 2 Tb 2.89
Ga 0.6585 0.0000 0.6585  1 Ga 2.65, 2 Tb 2.89
Ga 0.7707 0.2707 0.5000  6 Tb 2.95-3.04

---

First-principles (PBE) data for crystalline Ti2TcOs at its relaxed geometry, as listed in Alexandria.

Computed properties:
Relative energy among the computed polymorphs ... 0.004 eV/atom
SG ... No. 123
ΔH_f (0 K) ... -0.624 eV per atom

abc: 4.3821 4.3821 3.0917
angles: 90.00 90.00 90.00
With the nearest neighbours (Å) after each atom.
Fractional positions:
Ti 0.0000 0.5000 0.0000  4 Tc 2.68, 4 Os 2.68
Ti 0.5000 0.0000 0.0000  4 Tc 2.68, 4 Os 2.68
Tc 0.0000 0.0000 0.5000  8 Ti 2.68
Os 0.5000 0.5000 0.5000  8 Ti 2.68

---

First-principles (PBE) data for crystalline NbAsNF2 at its relaxed geometry, as listed in Alexandria.

Computed properties:
Relative energy among the computed polymorphs ... 0.849 eV/atom
E_form (uncorrected) ... 8 kJ/mol of atoms
SG ... No. 123

abc: 4.1281 4.1281 4.1944
angles: 90.00 90.00 90.00
With the nearest neighbours (Å) after each atom.
Fractional positions:
Nb 0.0000 0.0000 0.0000  4 N 2.92, 8 F 2.94
As 0.5000 0.5000 0.5000  4 F 2.06, 2 N 2.10
N 0.5000 0.5000 0.0000  2 As 2.10
F 0.0000 0.5000 0.5000  2 As 2.06
F 0.5000 0.0000 0.5000  2 As 2.06

---

Number 1: calculated total energy -24.2 eV per cell, magnetic moment 0.000 μB/atom. Number 2: calculated total energy -14.7 eV per cell, magnetic moment 0.000 μB/atom. Number 3: calculated total energy -51.2 eV per cell, magnetic moment 0.000 μB/atom. Number 4: calculated total energy -18.9 eV per cell, magnetic moment 0.177 μB/atom. Number 5: calculated total energy -22.3 eV per cell, magnetic moment 0.000 μB/atom. Number 6: calculated total energy -53.7 eV per cell, magnetic moment 0.000 μB/atom. Number 7: calculated total energy -39.9 eV per cell, magnetic moment 0.000 μB/atom. Number 8: calculated total energy -26.4 eV per cell, magnetic moment 0.651 μB/atom.